# 1
First-principles (PBE) data for crystalline AlCuRe2 at its relaxed geometry, as listed in OQMD.

E in Ha/atom: -0.2971
Theoretical density in g cm⁻³: 13.8
Calculated volume in Å³/cell: 223

Unit cell a=6.0663 b=6.0663 c=6.0663 alpha=90.00 beta=90.00 gamma=90.00
Closest atoms and distances in Å follow each position.
Space group F-43m (No. 216)
Symmetry-distinct sites (fractional):
Al: 0.0000 0.0000 0.0000 (multiplicity 4)  4 Re 2.63, 4 Cu 2.63
Cu: 0.2500 0.2500 0.2500 (multiplicity 4)  4 Re 2.63, 4 Al 2.63
Re: 0.0000 0.0000 0.5000 (multiplicity 4)  4 Re 2.63, 4 Cu 2.63
Re: 0.2500 0.2500 0.7500 (multiplicity 4)  4 Re 2.63, 4 Al 2.63

=====

# 2
First-principles (PBE) data for crystalline ScAlCuRe at its relaxed geometry, as listed in OQMD.

Theoretical density in g cm⁻³: 8.7
Offset from the most stable computed form in eV per atom: 0.0000
Calculated volume in Å³/cell: 246

Unit cell a=6.2645 b=6.2645 c=6.2645 alpha=90.00 beta=90.00 gamma=90.00
Closest atoms and distances in Å follow each position.
Space group F-43m (No. 216)
Symmetry-distinct sites (fractional):
Sc: 0.0000 0.0000 0.0000 (multiplicity 4)  4 Re 2.71, 4 Cu 2.71
Al: 0.0000 0.0000 0.5000 (multiplicity 4)  4 Re 2.71, 4 Cu 2.71
Cu: 0.2500 0.2500 0.7500 (multiplicity 4)  4 Sc 2.71, 4 Al 2.71
Re: 0.2500 0.2500 0.2500 (multiplicity 4)  4 Sc 2.71, 4 Al 2.71

=====

# 3
First-principles (PBE) data for crystalline TaAlCuRe at its relaxed geometry, as listed in OQMD.

Theoretical density in g cm⁻³: 12.6
Offset from the most stable computed form in eV per atom: 0.0000
Calculated volume in Å³/cell: 241

Unit cell a=6.2190 b=6.2190 c=6.2190 alpha=90.00 beta=90.00 gamma=90.00
Closest atoms and distances in Å follow each position.
Space group F-43m (No. 216)
Symmetry-distinct sites (fractional):
Ta: 0.0000 0.0000 0.0000 (multiplicity 4)  4 Cu 2.69, 4 Re 2.69
Al: 0.0000 0.0000 0.5000 (multiplicity 4)  4 Re 2.69, 4 Cu 2.69
Cu: 0.2500 0.2500 0.7500 (multiplicity 4)  4 Ta 2.69, 4 Al 2.69
Re: 0.2500 0.2500 0.2500 (multiplicity 4)  4 Ta 2.69, 4 Al 2.69

=====

# 4
First-principles (PBE) data for crystalline AlZnCuRe at its relaxed geometry, as listed in OQMD.

Theoretical density in g cm⁻³: 10.2
Offset from the most stable computed form in eV per atom: 0.1649
Calculated volume in Å³/cell: 222

Unit cell a=6.0582 b=6.0582 c=6.0582 alpha=90.00 beta=90.00 gamma=90.00
Closest atoms and distances in Å follow each position.
Space group F-43m (No. 216)
Symmetry-distinct sites (fractional):
Al: 0.0000 0.0000 0.0000 (multiplicity 4)  4 Cu 2.62, 4 Zn 2.62
Zn: 0.2500 0.2500 0.7500 (multiplicity 4)  4 Re 2.62, 4 Al 2.62
Cu: 0.2500 0.2500 0.2500 (multiplicity 4)  4 Re 2.62, 4 Al 2.62
Re: 0.0000 0.0000 0.5000 (multiplicity 4)  4 Cu 2.62, 4 Zn 2.62

=====

# 5
First-principles (PBE) data for crystalline AlZnCuRe at its relaxed geometry, as listed in OQMD.

Theoretical density in g cm⁻³: 10.2
Offset from the most stable computed form in eV per atom: 0.0000
Calculated volume in Å³/cell: 224

Unit cell a=6.0694 b=6.0694 c=6.0694 alpha=90.00 beta=90.00 gamma=90.00
Closest atoms and distances in Å follow each position.
Space group F-43m (No. 216)
Symmetry-distinct sites (fractional):
Al: 0.0000 0.0000 0.0000 (multiplicity 4)  4 Re 2.63, 4 Cu 2.63
Zn: 0.0000 0.0000 0.5000 (multiplicity 4)  4 Re 2.63, 4 Cu 2.63
Cu: 0.2500 0.2500 0.2500 (multiplicity 4)  4 Al 2.63, 4 Zn 2.63
Re: 0.2500 0.2500 0.7500 (multiplicity 4)  4 Al 2.63, 4 Zn 2.63

=====

# 6
First-principles (PBE) data for crystalline ZrAlCuRe at its relaxed geometry, as listed in OQMD.

Theoretical density in g cm⁻³: 9.6
Offset from the most stable computed form in eV per atom: 0.0000
Calculated volume in Å³/cell: 256

Unit cell a=6.3479 b=6.3479 c=6.3479 alpha=90.00 beta=90.00 gamma=90.00
Closest atoms and distances in Å follow each position.
Space group F-43m (No. 216)
Symmetry-distinct sites (fractional):
Zr: 0.0000 0.0000 0.0000 (multiplicity 4)  4 Re 2.75, 4 Cu 2.75
Al: 0.0000 0.0000 0.5000 (multiplicity 4)  4 Re 2.75, 4 Cu 2.75
Cu: 0.2500 0.2500 0.7500 (multiplicity 4)  4 Zr 2.75, 4 Al 2.75
Re: 0.2500 0.2500 0.2500 (multiplicity 4)  4 Al 2.75, 4 Zr 2.75

=====

# 7
First-principles (PBE) data for crystalline Al2CuS4 at its relaxed geometry, as listed in OQMD.

E in Ha/atom: -0.1751
Theoretical density in g cm⁻³: 3.3
Calculated volume in Å³/cell: 491

Unit cell a=7.0201 b=7.0201 c=9.9571 alpha=90.00 beta=90.00 gamma=90.00
Closest atoms and distances in Å follow each position.
Space group I4_1/amd (No. 141, origin choice 2)
Symmetry-distinct sites (fractional):
Al: 0.0000 0.0000 0.0000 (multiplicity 8)  6 S 2.41
Cu: 0.0000 0.2500 0.3750 (multiplicity 4)  4 S 2.28
S: 0.0000 0.0144 0.7579 (multiplicity 16)  1 Cu 2.28, 3 Al 2.41

=====

# 8
First-principles (PBE) data for crystalline Al2CuSe3S at its relaxed geometry, as listed in OQMD.

E in Ha/atom: -0.1592
Theoretical density in g cm⁻³: 3.9
Calculated volume in Å³/cell: 163

Unit cell a=5.5137 b=5.5498 c=6.5203 alpha=65.30 beta=66.00 gamma=89.32
Closest atoms and distances in Å follow each position.
Space group P1 (No. 1)
Symmetry-distinct sites (fractional):
Al: 0.0000 0.0000 0.0000 (multiplicity 1)  1 S 2.27, 3 Se 2.42-2.43
Al: 0.2423 0.7528 0.4885 (multiplicity 1)  1 S 2.27, 3 Se 2.42-2.43
Cu: 0.4843 0.5105 0.0035 (multiplicity 1)  1 S 2.31, 3 Se 2.42-2.43
Se: 0.3843 0.3699 0.7358 (multiplicity 1)  2 Al 2.42, 1 Cu 2.43
Se: 0.6197 0.1301 0.2609 (multiplicity 1)  1 Cu 2.42, 2 Al 2.43
Se: 0.8619 0.8922 0.7352 (multiplicity 1)  2 Al 2.42, 1 Cu 2.43
S: 0.1188 0.6364 0.2444 (multiplicity 1)  2 Al 2.27, 1 Cu 2.31